A relaxed structure of TmH4Rh2, computed with PBE-GGA.

Calculated values
E = -4.993 eV per atom
magnetic moment = 0.0 μB/f.u.
density of states at the Fermi level = 0.163 states/eV/atom

Unit cell a=6.2768 b=5.6929 c=5.5162 alpha=68.09 beta=57.29 gamma=54.62
Closest atoms and distances in Å follow each position.
Fractional positions:
Tm 0.0000 0.0000 0.0000  4 H 2.15-2.33
Tm 0.2500 0.2500 0.2500  4 H 2.15-2.33
H 0.2347 0.8263 0.5133  2 Rh 1.77-1.82
H 0.3846 0.3964 0.7977  3 Rh 1.80-1.92
H 0.3964 0.3846 0.4213  3 Rh 1.80-1.92
H 0.4523 0.8287 0.8654  3 Rh 1.80-1.92
H 0.7367 0.8242 0.0153  2 Rh 1.77-1.82
H 0.8242 0.7367 0.4237  2 Rh 1.77-1.82
H 0.8263 0.2347 0.4258  2 Rh 1.77-1.82
H 0.8287 0.4523 0.8536  3 Rh 1.80-1.92
Rh 0.0615 0.6021 0.7425  5 H 1.77-1.92
Rh 0.5075 0.6561 0.1885  5 H 1.77-1.92
Rh 0.6021 0.0615 0.5939  5 H 1.77-1.92
Rh 0.6561 0.5075 0.6479  5 H 1.77-1.92